14
Lattice="5.342 -2.072 0.000 5.342 2.072 0.000 -4.873 0.000 14.202" Properties=species:S:1:pos:R:3 comment="Nd3GeIr3 | Alexandria via LeMat-Bulk | PBE | relaxed" spacegroup=C2/m magnetic_moment_mub_per_atom=0.000 pbc="T T T"
Nd -1.682 0.000 5.397
Nd -3.338 0.000 13.155
Nd 1.507 0.000 3.130
Nd 4.304 0.000 11.072
Nd 9.149 0.000 1.047
Nd 7.493 0.000 8.805
Ge -0.095 0.000 8.679
Ge 5.906 0.000 5.523
Ir 1.415 0.000 6.592
Ir -0.381 0.000 13.113
Ir 1.239 0.000 10.891
Ir 4.572 0.000 3.311
Ir 6.193 0.000 1.089
Ir 4.396 0.000 7.610

***

10
Lattice="4.105 0.000 0.000 0.000 4.105 0.000 0.000 0.000 10.002" Properties=species:S:1:pos:R:3 comment="Nd2Ni4Ge3Ir | Alexandria via LeMat-Bulk | PBE | relaxed" spacegroup=P-4m2 magnetic_moment_mub_per_atom=0.000 pbc="T T T"
Nd 0.000 2.052 2.495
Nd 2.052 0.000 7.507
Ni 0.000 0.000 5.001
Ni 0.000 2.052 8.627
Ni 2.052 0.000 1.375
Ni 2.052 2.052 5.001
Ge 0.000 0.000 0.000
Ge 0.000 2.052 6.240
Ge 2.052 0.000 3.762
Ir 2.052 2.052 0.000

***

10
Lattice="4.249 0.000 0.000 0.000 4.249 0.000 0.000 0.000 11.003" Properties=species:S:1:pos:R:3 comment="Nd2NpGe3Ir4 | Alexandria via LeMat-Bulk | PBE | relaxed" spacegroup=P-4m2 magnetic_moment_mub_per_atom=0.349 pbc="T T T"
Nd 0.000 2.125 2.531
Nd 2.125 0.000 8.472
Np 0.000 0.000 5.502
Ge 0.000 2.125 9.645
Ge 2.125 0.000 1.358
Ge 2.125 2.125 5.502
Ir 0.000 0.000 0.000
Ir 0.000 2.125 7.159
Ir 2.125 0.000 3.844
Ir 2.125 2.125 0.000

***

Looking at formation energy from the elements for the records above, in order, we have -0.68 -0.58 -0.68 eV per atom.